Entry 1:
NaCaSbI2 | PBE | relaxed

Structure (extended XYZ):
```
5
Lattice="6.163 0.000 0.000 0.000 6.163 0.000 0.000 0.000 6.255" Properties=species:S:1:pos:R:3 pbc="T T T"
Na 0.000 0.000 0.000
Ca 3.082 3.082 3.127
Sb 3.082 3.082 0.000
I 0.000 3.082 3.127
I 3.082 0.000 3.127
```

Properties
- raw formation energy (kcal/mol of atoms) = -13.84
- ρ (Mg/m³) = 3.07
- offset from the most stable computed form (meV per atom) = 0



Entry 2:
AcTmBiTe | PBE | relaxed

Structure (extended XYZ):
```
12
Lattice="4.447 0.000 0.000 -2.224 3.852 0.000 0.000 0.000 24.424" Properties=species:S:1:pos:R:3 pbc="T T T"
Ac 0.000 0.000 0.000
Ac 0.000 2.568 16.283
Ac 2.224 1.284 8.141
Tm 0.000 0.000 20.171
Tm 0.000 2.568 12.030
Tm 2.224 1.284 3.888
Bi 0.000 0.000 10.283
Bi 0.000 2.568 2.142
Bi 2.224 1.284 18.425
Te 0.000 0.000 13.991
Te 0.000 2.568 5.849
Te 2.224 1.284 22.132
```

Properties
- raw formation energy (kcal/mol of atoms) = -23.47
- ρ (Mg/m³) = 8.72



Entry 3:
NaIOF2 | PBE | relaxed

Structure (extended XYZ):
```
5
Lattice="3.992 0.000 0.000 0.000 3.992 0.000 0.000 0.000 4.518" Properties=species:S:1:pos:R:3 pbc="T T T"
Na 0.000 0.000 0.000
I 1.996 1.996 2.259
O 0.000 0.000 2.259
F 0.000 1.996 0.000
F 1.996 0.000 0.000
```

Properties
- raw formation energy (kcal/mol of atoms) = -13.67
- ρ (Mg/m³) = 4.70
- offset from the most stable computed form (meV per atom) = 487



Entry 4:
Li4Sn3Hg2 | PBE | relaxed

Structure (extended XYZ):
```
18
Lattice="6.858 -5.455 0.000 6.858 5.455 0.000 -0.972 0.000 5.141" Properties=species:S:1:pos:R:3 pbc="T T T"
Li 5.135 4.089 4.948
Li 7.123 4.089 2.763
Li 4.640 1.187 3.599
Li 5.126 -1.187 1.029
Li 7.618 1.187 4.112
Li 8.104 -1.187 1.541
Li 5.621 -4.089 2.378
Li 7.609 -4.089 0.193
Sn 1.568 1.376 2.997
Sn 2.054 -1.376 0.427
Sn 6.615 1.577 1.285
Sn 6.129 -1.577 3.855
Sn 10.690 1.376 4.714
Sn 11.176 -1.376 2.143
Hg 3.644 1.322 0.729
Hg 3.158 -1.322 3.299
Hg 9.587 1.322 1.842
Hg 9.101 -1.322 4.412
```

Properties
- calculated formation energy (meV per atom) = -222
- ρ (Mg/m³) = 6.78
- offset from the most stable computed form (meV per atom) = 52



Entry 5:
Ti4Al2Ga5 | PBE | relaxed

Structure (extended XYZ):
```
11
Lattice="10.078 -1.455 0.000 10.078 1.455 0.000 -2.055 0.000 6.442" Properties=species:S:1:pos:R:3 pbc="T T T"
Ti 0.764 0.000 1.684
Ti 4.066 0.000 5.816
Ti 14.036 0.000 0.626
Ti 17.337 0.000 4.758
Al 8.741 0.000 0.533
Al 9.360 0.000 5.909
Ga 1.419 0.000 4.745
Ga 3.051 0.000 2.794
Ga 9.051 0.000 3.221
Ga 15.051 0.000 3.647
Ga 16.682 0.000 1.697
```

Properties
- calculated formation energy (meV per atom) = -191
- ρ (Mg/m³) = 5.22



Entry 6:
BaAgBi3 | PBE | relaxed

Structure (extended XYZ):
```
5
Lattice="5.654 0.000 0.000 0.000 5.654 0.000 0.000 0.000 5.654" Properties=species:S:1:pos:R:3 pbc="T T T"
Ba 0.000 0.000 0.000
Ag 2.827 2.827 2.827
Bi 0.000 2.827 2.827
Bi 2.827 0.000 2.827
Bi 2.827 2.827 0.000
```

Properties
- calculated formation energy (meV per atom) = -130
- ρ (Mg/m³) = 8.01
- offset from the most stable computed form (meV per atom) = 205



Entry 7:
Sr8LiPt2 | PBE | relaxed

Structure (extended XYZ):
```
11
Lattice="9.961 0.000 0.000 -4.980 8.626 0.000 0.000 0.000 6.230" Properties=species:S:1:pos:R:3 pbc="T T T"
Sr -0.013 2.890 1.515
Sr -2.471 7.192 1.515
Sr 0.000 5.751 4.645
Sr 2.496 1.456 4.715
Sr 2.484 7.170 1.515
Sr 4.980 2.875 1.586
Sr 7.452 1.434 4.715
Sr 4.993 5.736 4.715
Li 0.000 0.000 3.115
Pt 0.000 5.751 1.544
Pt 4.980 2.875 4.686
```

Properties
- calculated formation energy (meV per atom) = -168
- ρ (Mg/m³) = 3.41



Entry 8:
LiNbPCl2 | PBE | relaxed

Structure (extended XYZ):
```
5
Lattice="4.968 0.000 0.000 0.000 4.968 0.000 0.000 0.000 4.874" Properties=species:S:1:pos:R:3 pbc="T T T"
Li 0.000 0.000 0.000
Nb 2.484 2.484 2.437
P 2.484 2.484 0.000
Cl 0.000 2.484 2.437
Cl 2.484 0.000 2.437
```

Properties
- raw formation energy (kcal/mol of atoms) = -12.95
- ρ (Mg/m³) = 2.78
- offset from the most stable computed form (meV per atom) = 0



> Look up the ρ of the fifth one.

5.22 Mg/m³



> ρ of number 6 (BaAgBi3)?

8.01 Mg/m³



> Look up the ρ of the sixth one.

8.01 Mg/m³